No. 1
Computed, not measured: crystalline LaPu2MnN4 at its relaxed geometry at the PBE-GGA level of DFT.

The structure in POSCAR format:
```
LaPu2MnN4
1.0
1.7084 -5.8014 0.0000
1.7084 5.8014 0.0000
0.0000 0.0000 11.5207
La Pu Mn N
2 4 2 8
direct
0.1023 0.8977 0.7500
0.8977 0.1023 0.2500
0.3687 0.6313 0.5524
0.3687 0.6313 0.9476
0.6313 0.3687 0.0524
0.6313 0.3687 0.4476
0.1610 0.8390 0.2500
0.8390 0.1610 0.7500
0.0000 0.0000 0.0000
0.0000 0.0000 0.5000
0.2648 0.7352 0.1149
0.2648 0.7352 0.3851
0.4339 0.5661 0.7500
0.5661 0.4339 0.2500
0.7352 0.2648 0.6149
0.7352 0.2648 0.8851
```

Results
The density of states at the Fermi level is 1.55 states/eV per atom. Its space-group type is Cmcm, No. 63. For the raw formation energy, the calculation gives -1.08 eV/atom.


No. 2
Computed, not measured: crystalline KSrFe2 at its relaxed geometry at the PBE-GGA level of DFT.

The structure in POSCAR format:
```
KSrFe2
1.0
3.5055 -4.4854 0.0000
3.5055 4.4854 0.0000
0.0000 0.0000 3.4933
K Sr Fe
1 1 2
direct
0.0000 0.0000 0.0000
0.5000 0.5000 0.0000
0.0000 0.5000 0.5000
0.5000 0.0000 0.5000
```

Results
The density of states at the Fermi level is 1.73 states/eV per atom. The distance to the lowest polymorph of the same formula comes out at 587 meV/atom. The energy of formation from the pure elements comes out at 114.60 kJ per mole of atoms. Its space-group type is Cmmm, No. 65.


No. 3
Computed, not measured: crystalline HoGa3TcNi at its relaxed geometry at the PBE-GGA level of DFT.

The structure in POSCAR format:
```
HoGa3TcNi
1.0
3.8062 -5.2177 0.0000
3.8062 5.2177 0.0000
0.0000 0.0000 5.7686
Ho Ga Tc Ni
2 6 2 2
direct
0.2103 0.7897 0.7500
0.7897 0.2103 0.2500
0.2523 0.2523 0.0000
0.2523 0.2523 0.5000
0.3031 0.6969 0.2500
0.6969 0.3031 0.7500
0.7477 0.7477 0.0000
0.7477 0.7477 0.5000
0.0737 0.9263 0.2500
0.9263 0.0737 0.7500
0.4726 0.5274 0.7500
0.5274 0.4726 0.2500
```

Results
The density of states at the Fermi level is 0.51 states/eV per atom. The energy of formation from the pure elements comes out at -21.93 kJ per mole of atoms. Its space-group type is Cmcm, No. 63.


No. 4
Computed, not measured: crystalline BeIr2 at its relaxed geometry at the PBE-GGA level of DFT.

The structure in POSCAR format:
```
BeIr2
1.0
4.7733 -1.3715 0.0000
4.7733 1.3715 0.0000
-0.8552 0.0000 5.8311
Be Ir
2 4
direct
0.0000 0.0000 0.0000
0.7232 0.7232 0.4020
0.0753 0.0753 0.6301
0.3502 0.3502 0.7101
0.4265 0.4265 0.2811
0.7095 0.7095 0.0066
```

Results
The density of states at the Fermi level is 0.57 states/eV per atom. The energy of formation from the pure elements comes out at -22.60 kJ per mole of atoms. Its space-group type is Cm, No. 8.


No. 5
Computed, not measured: crystalline Ba5In at its relaxed geometry at the PBE-GGA level of DFT.

The structure in POSCAR format:
```
Ba5In
1.0
7.3809 0.0000 0.0000
-3.6904 6.3920 0.0000
0.0000 0.0000 6.4555
Ba In
5 1
direct
0.0000 0.7014 0.0000
0.2986 0.2986 0.0000
0.3333 0.6667 0.5000
0.6667 0.3333 0.5000
0.7014 0.0000 0.0000
0.0000 0.0000 0.5000
```

Results
The density of states at the Fermi level is 1.25 states/eV per atom. The distance to the lowest polymorph of the same formula comes out at 97 meV/atom. The energy of formation from the pure elements comes out at -3.75 kJ per mole of atoms. Its space-group type is P-62m, No. 189.


No. 6
Computed, not measured: crystalline LiGdSnPt at its relaxed geometry at the PBE-GGA level of DFT.

The structure in POSCAR format:
```
LiGdSnPt
1.0
0.0000 3.3850 3.3850
3.3850 0.0000 3.3850
3.3850 3.3850 0.0000
Li Gd Sn Pt
1 1 1 1
direct
0.0000 0.0000 0.0000
0.7500 0.7500 0.7500
0.2500 0.2500 0.2500
0.5000 0.5000 0.5000
```

Results
The energy of formation from the pure elements comes out at -86.40 kJ per mole of atoms. Its space-group type is F-43m, No. 216.


No. 7
Computed, not measured: crystalline Hf2BeAlF at its relaxed geometry at the PBE-GGA level of DFT.

The structure in POSCAR format:
```
Hf2BeAlF
1.0
5.2570 0.0000 0.0000
0.0000 5.2570 0.0000
0.0000 0.0000 3.5651
Hf Be Al F
2 1 1 1
direct
0.0000 0.5000 0.0000
0.5000 0.0000 0.0000
0.0000 0.0000 0.5000
0.5000 0.5000 0.0000
0.5000 0.5000 0.5000
```

Results
The density of states at the Fermi level is 1.27 states/eV per atom. Its space-group type is P4/mmm, No. 123. For the raw formation energy, the calculation gives 0.34 eV/atom.


No. 8
Computed, not measured: crystalline Ce6Lu at its relaxed geometry at the PBE-GGA level of DFT.

The structure in POSCAR format:
```
Ce6Lu
1.0
-3.7922 3.7922 3.7922
3.7922 -3.7922 3.7922
3.7922 3.7922 -3.7922
Ce Lu
6 1
direct
0.2500 0.5000 0.7500
0.2500 0.7500 0.5000
0.5000 0.2500 0.7500
0.5000 0.7500 0.2500
0.7500 0.2500 0.5000
0.7500 0.5000 0.2500
0.0000 0.0000 0.0000
```

Results
The density of states at the Fermi level is 3.69 states/eV per atom. The energy of formation from the pure elements comes out at 68.04 kJ per mole of atoms. Its space-group type is Im-3m, No. 229.


Record-wise M_tot values, in μB per formula unit: 5.1 5.6 0.0 0.0 0.0 7.0 0.0 0.0